The following is a DFT calculation (PBE with a Hubbard U) of a geometry-optimized WSe2F2 structure.

a b c (Å): 3.4537 3.4537 12.6045
angles (deg): 90.00 90.00 90.00
Space group I4/mmm (No. 139)
Asymmetric unit:
W1 0.0000 0.0000 0.0000 x2
Se1 0.0000 0.0000 0.3870 x4
F1 0.0000 0.5000 0.2500 x4

E above lowest polymorph: 150 meV per atom
ρ: 8.39 g cm⁻³
D(E_F): 1.18 states/eV/f.u.
magnetization: 0.3494 μB/atom